# 1
A plane-wave DFT calculation with GGA-PBE was carried out for GdYSiAg after structural relaxation.

```
4
Lattice="5.072 0.000 0.000 2.536 4.392 0.000 2.536 1.464 4.141" Properties=species:S:1:pos:R:3 pbc="T T T"
Y 5.072 2.928 2.071
Si 7.608 4.392 3.106
Gd 0.000 0.000 0.000
Ag 2.536 1.464 1.035
```

Computed properties:
E_form (uncorrected) = -0.4654 eV per atom
symmetry = No. 216

***

# 2
A plane-wave DFT calculation with GGA-PBE was carried out for SmGdAg after structural relaxation.

```
3
Lattice="-0.981 -3.046 1.816 4.876 -1.505 0.109 -1.873 2.861 3.789" Properties=species:S:1:pos:R:3 pbc="T T T"
Gd -0.005 0.221 3.268
Ag 1.978 -2.063 2.536
Sm -0.932 -2.895 1.726
```

Computed properties:
energy of formation = -0.024 eV/atom
ΔE to the lowest computed polymorph = 3.506 kcal/mol of atoms
symmetry = No. 156

***

# 3
A plane-wave DFT calculation with GGA-PBE was carried out for SmGdAg after structural relaxation.

```
3
Lattice="-1.085 0.644 -3.451 2.135 -2.747 -1.183 -5.251 -2.942 3.059" Properties=species:S:1:pos:R:3 pbc="T T T"
Gd -0.169 -0.143 0.027
Ag -1.037 -2.372 -2.072
Sm -2.995 -2.530 0.470
```

Computed properties:
energy of formation = -0.176 eV/atom
ΔE to the lowest computed polymorph = 0.000 kcal/mol of atoms
symmetry = No. 107

***

# 4
A plane-wave DFT calculation with GGA-PBE was carried out for SmGdAg2 after structural relaxation.

```
4
Lattice="-0.364 -2.395 4.629 4.246 -0.565 2.990 0.473 2.756 4.412" Properties=species:S:1:pos:R:3 pbc="T T T"
Gd 1.089 -0.051 3.008
Ag 2.176 -0.104 6.014
Ag -0.363 -2.394 4.630
Sm 3.266 -0.153 9.023
```

Computed properties:
energy of formation = -0.284 eV/atom
symmetry = No. 225

***

| no. | spin magnetization (μB per cell) | raw total energy (eV per atom) |
| --- | --- | --- |
| 1 | 7.8 | -7.6702 |
| 2 | 7.3 | -7.2408 |
| 3 | 8.1 | -7.3928 |
| 4 | 7.1 | -6.4098 |